Entry from the Alexandria database: an optimized crystal structure of KBaTlAg (GGA-PBE).

Cell: 5.9035 5.9035 5.9035 Å, 60.00 60.00 60.00°
With the nearest neighbours (Å) after each atom.
Positions (direct):
K 0.2500 0.2500 0.2500  4 Ag 3.62, 4 Tl 3.62
Tl 0.0000 0.0000 0.0000  4 K 3.62, 4 Ba 3.62
Ba 0.7500 0.7500 0.7500  4 Tl 3.62, 4 Ag 3.62
Ag 0.5000 0.5000 0.5000  4 Ba 3.62, 4 K 3.62

Values from the calculation:
Its density is 5.6 g cm⁻³. The total moment is 0.000 Bohr magnetons per cell.

***

Entry from the Alexandria database: an optimized crystal structure of LuPuNiPt (GGA-PBE).

Cell: 4.8352 4.8352 4.8352 Å, 60.00 60.00 60.00°
With the nearest neighbours (Å) after each atom.
Positions (direct):
Ni 0.7500 0.7500 0.7500  4 Pu 2.96, 4 Lu 2.96
Lu 0.5000 0.5000 0.5000  4 Ni 2.96, 4 Pt 2.96
Pt 0.2500 0.2500 0.2500  4 Pu 2.96, 4 Lu 2.96
Pu 0.0000 0.0000 0.0000  4 Pt 2.96, 4 Ni 2.96

Values from the calculation:
Its density is 14.0 g cm⁻³. The total moment is 5.384 Bohr magnetons per cell.

***

Number 1: energy of formation -0.078 eV/atom, DFT total energy -8.55 eV per cell. Number 2: energy of formation -0.592 eV/atom, DFT total energy -33.04 eV per cell.